The following is a PBE calculation of crystalline Tl2GePb2 at its relaxed geometry, from the Alexandria database. Values from VASP.

Structure (Quantum ESPRESSO input):
```
&SYSTEM
  ibrav = 0, nat = 5, ntyp = 3
/
ATOMIC_SPECIES
Tl 204.38 Tl.upf
Ge 72.64 Ge.upf
Pb 207.20 Pb.upf
ATOMIC_POSITIONS angstrom
Tl -6.023 1.116 2.041
Ge 0.000 0.000 0.000
Pb -3.239 -0.627 0.720
Tl -5.207 -1.335 3.576
Pb -7.991 0.408 4.897
CELL_PARAMETERS angstrom
-3.489 1.203 -2.106
-1.857 -3.698 0.965
-5.883 2.276 6.759
```

Energy above the lowest structure with this stoichiometry: 137.6 meV/atom
Crystal system: tetragonal
M_tot: 0.0 μB per cell
Energy of formation from the pure elements: 0.301 eV per atom
DFT total energy: -0.112 hartree per atom